1.
The following is a PBE-GGA calculation of a geometry-optimized Na2PmAs2O6 structure, from Alexandria via LeMat-Bulk.

Unit cell a=5.5549 b=5.5549 c=6.9312 alpha=113.46 beta=113.46 gamma=65.44
Last column: nearest neighbours and their distance in Å.
Element x y z (fractional)
Na: 0.2051 0.2051 0.1373  5 O 2.42-2.71
Na: 0.7949 0.7949 0.8627  5 O 2.42-2.71
Pm: 0.0000 0.0000 0.5000  6 O 2.37-2.39
As: 0.4436 0.4436 0.7760  3 O 1.75-1.78
As: 0.5564 0.5564 0.2240  3 O 1.75-1.78
O: 0.2046 0.6721 0.2201  1 As 1.78
O: 0.2640 0.2640 0.5256  1 As 1.75
O: 0.3279 0.7954 0.7799  1 As 1.78
O: 0.6721 0.2046 0.2201  1 As 1.78
O: 0.7360 0.7360 0.4744  1 As 1.75
O: 0.7954 0.3279 0.7799  1 As 1.78

Calculated values
V ... 171 Å³/f.u.
ΔE_f (raw) ... -1.8456 eV/atom
SG ... C2/m, No. 12



2.
The following is a PBE-GGA calculation of a geometry-optimized Na3Pm3AsO8 structure, from Alexandria via LeMat-Bulk.

Unit cell a=6.8637 b=6.8637 c=6.8637 alpha=60.36 beta=60.36 gamma=60.36
Last column: nearest neighbours and their distance in Å.
Element x y z (fractional)
Na: 0.0000 0.5000 0.5000  6 O 2.53-2.54
Na: 0.5000 0.0000 0.5000  6 O 2.53-2.54
Na: 0.5000 0.5000 0.0000  6 O 2.53-2.54
Pm: 0.0000 0.0000 0.5000  6 O 2.33-2.41
Pm: 0.0000 0.5000 0.0000  6 O 2.33-2.41
Pm: 0.5000 0.0000 0.0000  6 O 2.33-2.41
As: 0.5000 0.5000 0.5000  6 O 2.04
O: 0.2392 0.2392 0.2392  3 Pm 2.33, 3 Na 2.54
O: 0.2776 0.7092 0.7092  1 As 2.04
O: 0.2908 0.2908 0.7224  1 As 2.04
O: 0.2908 0.7224 0.2908  1 As 2.04
O: 0.7092 0.2776 0.7092  1 As 2.04
O: 0.7092 0.7092 0.2776  1 As 2.04
O: 0.7224 0.2908 0.2908  1 As 2.04
O: 0.7608 0.7608 0.7608  3 Pm 2.33, 3 Na 2.54

Calculated values
V ... 230 Å³/f.u.
ΔE_f (raw) ... -2.3141 eV/atom
SG ... R-3m, No. 166